# 1
Compound: Sc2GaGe
Source: Alexandria via LeMat-Bulk
Functional: PBE
Structure: optimized geometry

V, Å³ per cell: 76.3
Formation energy from the elements, meV per atom: -571
Symmetry: No. 123

a b c (Å): 3.515 3.515 6.177
angles (deg): 90.00 90.00 90.00
Fractional positions:
Sc1 0.000 0.000 0.244
Sc2 0.000 0.000 0.756
Ga1 0.500 0.500 0.500
Ge1 0.500 0.500 0.000

# 2
Compound: ScGaGe3
Source: Alexandria via LeMat-Bulk
Functional: PBE
Structure: optimized geometry

V, Å³ per cell: 116.5
Formation energy from the elements, meV per atom: 439
ΔE to the lowest computed polymorph, meV per atom: 0
Symmetry: No. 221

a b c (Å): 4.884 4.884 4.884
angles (deg): 90.00 90.00 90.00
Fractional positions:
Sc1 0.000 0.000 0.000
Ga1 0.500 0.500 0.500
Ge1 0.000 0.500 0.500
Ge2 0.500 0.000 0.500
Ge3 0.500 0.500 0.000